[1]
This record from Alexandria describes a relaxed structure of CsMgAl2F. The functional is GGA-PBE.

Lattice parameters (Å, degrees): 4.967 4.967 5.546 90.00 90.00 90.00
Atoms (fractional coordinates):
Cs 0.000 0.000 0.000
Mg 0.500 0.500 0.000
Al 0.000 0.500 0.500
Al 0.500 0.000 0.500
F 0.000 0.000 0.500

- space-group type = P4/mmm, No. 123
- ΔE to the lowest computed polymorph (meV per atom) = 104.7
- uncorrected formation energy (eV per atom) = -0.181

[2]
This record from Alexandria describes a relaxed structure of CsMgAl2F. The functional is GGA-PBE.

Lattice parameters (Å, degrees): 6.105 6.105 3.881 90.00 90.00 90.00
Atoms (fractional coordinates):
Cs 0.000 0.000 0.000
Mg 0.500 0.500 0.500
Al 0.000 0.500 0.500
Al 0.500 0.000 0.500
F 0.500 0.500 0.000

- space-group type = P4/mmm, No. 123
- ΔE to the lowest computed polymorph (meV per atom) = 0.0
- uncorrected formation energy (eV per atom) = -0.286

Please write out number 1 again, unchanged.
This record from Alexandria describes a relaxed structure of CsMgAl2F. The functional is GGA-PBE.

Lattice parameters (Å, degrees): 4.967 4.967 5.546 90.00 90.00 90.00
Atoms (fractional coordinates):
Cs 0.000 0.000 0.000
Mg 0.500 0.500 0.000
Al 0.000 0.500 0.500
Al 0.500 0.000 0.500
F 0.000 0.000 0.500

- space-group type = P4/mmm, No. 123
- ΔE to the lowest computed polymorph (meV per atom) = 104.7
- uncorrected formation energy (eV per atom) = -0.181